Record 1
Crystalline NiTeSe2Br at its relaxed geometry. Source: Alexandria, functional PBE.

Properties
- M_tot: 1.31 μB/f.u.
- Density: 4.4 g/cm3

Unit cell a=5.408 b=5.408 c=5.439 alpha=90.00 beta=90.00 gamma=90.00
Fractional positions:
Ni (0.000, 0.000, 0.000)
Te (0.500, 0.500, 0.500)
Se (0.000, 0.500, 0.500)
Se (0.500, 0.000, 0.500)
Br (0.500, 0.500, 0.000)

***

Record 2
Crystalline NiTeSeBr2 at its relaxed geometry. Source: Alexandria, functional PBE.

Properties
- M_tot: 0.00 μB/f.u.
- Density: 6.1 g/cm3

Unit cell a=4.786 b=4.786 c=5.013 alpha=90.00 beta=90.00 gamma=90.00
Fractional positions:
Ni (0.000, 0.000, 0.000)
Te (0.500, 0.500, 0.500)
Se (0.000, 0.000, 0.500)
Br (0.000, 0.500, 0.000)
Br (0.500, 0.000, 0.000)

***

Record 3
Crystalline NiTeSe2Br at its relaxed geometry. Source: Alexandria, functional PBE.

Properties
- M_tot: 0.00 μB/f.u.
- Density: 6.4 g/cm3

Unit cell a=4.812 b=4.812 c=4.757 alpha=90.00 beta=90.00 gamma=90.00
Fractional positions:
Ni (0.000, 0.000, 0.000)
Te (0.500, 0.500, 0.500)
Se (0.000, 0.500, 0.000)
Se (0.500, 0.000, 0.000)
Br (0.000, 0.000, 0.500)

***

Record 4
Crystalline TiNiSe2Br at its relaxed geometry. Source: Alexandria, functional PBE.

Properties
- M_tot: 0.96 μB/f.u.
- Density: 4.6 g/cm3

Unit cell a=4.936 b=4.936 c=5.067 alpha=90.00 beta=90.00 gamma=90.00
Fractional positions:
Ti (0.000, 0.000, 0.000)
Ni (0.500, 0.500, 0.500)
Se (0.000, 0.500, 0.000)
Se (0.500, 0.000, 0.000)
Br (0.000, 0.000, 0.500)

***

Record 5
Crystalline TlNiSe2Br at its relaxed geometry. Source: Alexandria, functional PBE.

Properties
- M_tot: 1.78 μB/f.u.
- Density: 5.1 g/cm3

Unit cell a=5.393 b=5.393 c=5.593 alpha=90.00 beta=90.00 gamma=90.00
Fractional positions:
Tl (0.000, 0.000, 0.000)
Ni (0.500, 0.500, 0.500)
Se (0.000, 0.500, 0.000)
Se (0.500, 0.000, 0.000)
Br (0.000, 0.000, 0.500)

***

Record 6
Crystalline TlNiSeBr2 at its relaxed geometry. Source: Alexandria, functional PBE.

Properties
- M_tot: 1.63 μB/f.u.
- Density: 6.4 g/cm3

Unit cell a=5.313 b=5.313 c=4.626 alpha=90.00 beta=90.00 gamma=90.00
Fractional positions:
Tl (0.000, 0.000, 0.000)
Ni (0.500, 0.500, 0.500)
Se (0.500, 0.500, 0.000)
Br (0.000, 0.500, 0.500)
Br (0.500, 0.000, 0.500)

***

Record 7
Crystalline TlNiSe2Br at its relaxed geometry. Source: Alexandria, functional PBE.

Properties
- M_tot: 1.45 μB/f.u.
- Density: 6.7 g/cm3

Unit cell a=4.743 b=4.743 c=5.552 alpha=90.00 beta=90.00 gamma=90.00
Fractional positions:
Tl (0.000, 0.000, 0.000)
Ni (0.500, 0.500, 0.500)
Se (0.000, 0.500, 0.500)
Se (0.500, 0.000, 0.500)
Br (0.500, 0.500, 0.000)

***

Record 8
Crystalline TlNiSeBr2 at its relaxed geometry. Source: Alexandria, functional PBE.

Properties
- M_tot: 1.54 μB/f.u.
- Density: 4.5 g/cm3

Unit cell a=5.700 b=5.700 c=5.642 alpha=90.00 beta=90.00 gamma=90.00
Fractional positions:
Tl (0.000, 0.000, 0.000)
Ni (0.500, 0.500, 0.500)
Se (0.000, 0.000, 0.500)
Br (0.000, 0.500, 0.000)
Br (0.500, 0.000, 0.000)

***

Calculated values (eV/atom) of total energy for the records, taken in order: -2.64 -2.98 -3.30 -4.36 -2.44 -3.23 -3.41 -2.33.
Calculated values (meV per atom) of relative energy among the computed polymorphs for the records, taken in order: 662.4 0.0 0.0 0.0 970.0 0.0 0.0 900.1.
Calculated values (eV per formula unit) of uncorrected formation energy for the records, taken in order: 4.4 0.8 1.1 0.5 4.6 -1.2 -0.3 3.3.